# Li2SbAs2

Li2SbAs2 at its PBEsol-relaxed geometry (meta-GGA SCAN, Alexandria).

extended XYZ file:
```
5
Lattice="-2.1372 2.1372 5.1400 2.1372 -2.1372 5.1400 2.1372 2.1372 -5.1400" Properties=species:S:1:pos:R:3 pbc="T T T"
Li 2.1372 0.0000 2.5700
Li 0.0000 2.1372 2.5700
Sb 0.0000 0.0000 0.0000
As 0.0000 0.0000 3.9609
As 0.0000 0.0000 6.3191
```

- V (A^3/atom) = 18.8
- Fermi-level density of states (states/eV per cell) = 1.6
- crystal system = tetragonal
- distance to the lowest polymorph of the same formula (eV per atom) = 0.1431
- electronic total energy (eV/atom) = -16.701
- space group = I4/mmm (139)